Here is a relaxed V6O5F19 crystal from Alexandria via LeMat-Bulk. Energies are from PBE+U.

The space group is P1. The excess energy over the best structure of this formula in the dataset is 0.00 eV per formula unit. The calculation puts the volume at 14.4 Å³ per atom. The value obtained for the mass density is 2.86 g/cm3. The total energy is -5.86 eV per atom. The calculation puts the density of states at the Fermi level at 0.00 states/eV/f.u.

abc: 5.373 5.538 14.816
angles: 100.55 89.85 90.80
Site moments in Bohr magnetons follow the coordinates.
Atoms (fractional coordinates):
1 V 0.524 0.772 0.664  0.00
2 F 0.246 0.285 0.024  0.01
3 F 0.920 0.063 0.116  -0.04
4 F 0.070 0.313 0.553  0.00
5 F 0.911 0.737 0.448  0.00
6 O 0.709 0.533 0.644  0.00
7 F 0.579 0.236 0.448  0.00
8 F 0.781 0.712 0.976  0.01
9 V 0.972 0.275 0.664  0.00
10 F 0.260 0.139 0.690  0.00
11 O 0.708 0.867 0.311  0.00
12 F 0.070 0.644 0.221  0.00
13 F 0.071 0.969 0.882  -0.04
14 O 0.784 0.367 0.311  0.00
15 F 0.278 0.791 0.021  0.02
16 F 0.579 0.904 0.781  0.00
17 V 0.972 0.609 0.332  0.00
18 F 0.232 0.635 0.692  0.00
19 O 0.784 0.032 0.643  0.00
20 F 0.421 0.142 0.221  0.00
21 F 0.420 0.462 0.885  0.00
22 F 0.573 0.575 0.116  0.00
23 F 0.231 0.969 0.359  0.00
24 V 0.540 0.463 0.996  0.05
25 O 0.731 0.231 0.979  -0.03
26 F 0.421 0.806 0.554  0.00
27 F 0.911 0.400 0.781  0.00
28 V 0.019 0.992 0.001  1.00
29 F 0.259 0.474 0.359  0.00
30 V 0.524 0.106 0.331  0.00